1.
Crystalline Cd2SnIr2 at its relaxed geometry, computed with PBE.

The structure belongs to space group P4/mbm (No. 127); the cell edges are 6.7496, 6.7496 and 4.2971 Å and the angles 90.00°, 90.00° and 90.00°. The inequivalent atoms are Cd at (0.1602, 0.3398, 0.0000), Sn at (0.0000, 0.0000, 0.5000) and Ir at (0.1376, 0.6376, 0.5000).

As for the total DFT energy (no corrections): -0.3431 Ry/atom. The density comes out at 12.35 Mg/m³. Its total magnetization is 0.00 μB/f.u.



2.
Crystalline CeZrSc4 at its relaxed geometry, computed with PBE.

The structure belongs to space group Cmc2_1 (No. 36); the cell edges are 3.2743, 17.2577 and 10.5930 Å and the angles 90.00°, 90.00° and 90.00°. The inequivalent atoms are Ce at (0.0000, 0.2210, 0.0000), Zr at (0.0000, 0.3320, 0.2466), Sc at (0.0000, 0.0061, 0.7518), Sc at (0.0000, 0.1060, 0.5038), Sc at (0.0000, 0.3334, 0.7540) and Sc at (0.0000, 0.4424, 0.5005).

The density comes out at 4.56 Mg/m³. For the relative energy among the computed polymorphs, the calculation gives 0.0000 eV/atom. Its total magnetization is 0.07 μB/f.u.



3.
Crystalline MnAl3V12 at its relaxed geometry, computed with PBE.

The structure belongs to space group Pmmm (No. 47); the cell edges are 4.7609, 4.7712 and 9.5521 Å and the angles 90.00°, 90.00° and 90.00°. The inequivalent atoms are Mn at (0.0000, 0.0000, 0.0000), Al at (0.0000, 0.0000, 0.5000), Al at (0.5000, 0.5000, 0.2493), V at (0.0000, 0.2426, 0.2402), V at (0.2434, 0.5000, 0.0000), V at (0.2573, 0.5000, 0.5000), V at (0.5000, 0.0000, 0.1177) and V at (0.5000, 0.0000, 0.3704).

As for the total DFT energy (no corrections): -0.6075 Ry/atom. The density comes out at 5.72 Mg/m³. Its total magnetization is 0.00 μB/f.u.



4.
Crystalline YTiTlIn at its relaxed geometry, computed with PBE.

The structure belongs to space group F-43m (No. 216); the cell edges are 7.2407, 7.2407 and 7.2407 Å and the angles 90.00°, 90.00° and 90.00°. The inequivalent atoms are Y at (0.0000, 0.0000, 0.0000), Ti at (0.0000, 0.0000, 0.5000), Tl at (0.2500, 0.2500, 0.2500) and In at (0.2500, 0.2500, 0.7500).

As for the total DFT energy (no corrections): -0.3653 Ry/atom. The density comes out at 7.98 Mg/m³. Its total magnetization is 1.63 μB/f.u.



5.
Crystalline SiIrAu at its relaxed geometry, computed with PBE.

The structure belongs to space group I4mm (No. 107); the cell edges are 2.9445, 2.9445 and 10.6864 Å and the angles 90.00°, 90.00° and 90.00°. The inequivalent atoms are Si at (0.0000, 0.0000, 0.0000), Ir at (0.0000, 0.0000, 0.6184) and Au at (0.0000, 0.0000, 0.3250).

The density comes out at 14.96 Mg/m³. For the relative energy among the computed polymorphs, the calculation gives 0.2391 eV/atom. As for the uncorrected formation energy: -78 meV/atom. Its total magnetization is 0.00 μB/f.u.



6.
Crystalline Y2Er5Bi4 at its relaxed geometry, computed with PBE.

The structure belongs to space group C2/m (No. 12); the cell edges are 25.1582, 3.4971 and 8.0802 Å and the angles 90.00°, 90.93° and 90.00°. The inequivalent atoms are Y at (0.2326, 0.0000, 0.3172), Er at (0.0000, 0.0000, 0.5000), Er at (0.1390, 0.5000, 0.5519), Er at (0.1689, 0.5000, 0.9849), Bi at (0.0491, 0.5000, 0.8069) and Bi at (0.0986, 0.0000, 0.2390).

As for the total DFT energy (no corrections): -0.3573 Ry/atom. The density comes out at 8.64 Mg/m³. Its total magnetization is 0.00 μB/f.u.



Number 1: DOS at the Fermi energy 3.81 states/eV/f.u.. Number 2: DOS at the Fermi energy 11.56 states/eV/f.u.. Number 3: DOS at the Fermi energy 23.06 states/eV/f.u.. Number 4: DOS at the Fermi energy 4.55 states/eV/f.u.. Number 5: DOS at the Fermi energy 1.62 states/eV/f.u.. Number 6: DOS at the Fermi energy 9.87 states/eV/f.u..